Entry one
Here is a relaxed TaSiAg3 crystal from Alexandria. Energies are from PBE.

Its crystal system is cubic.

The structure belongs to space group Pm-3m (No. 221); the cell edges are 4.643, 4.643 and 4.643 Å and the angles 90.00°, 90.00° and 90.00°. The inequivalent atoms are Ta at (0.000, 0.000, 0.000), Si at (0.500, 0.500, 0.500) and Ag at (0.000, 0.500, 0.500).

=====

Entry two
Here is a relaxed TaSiAg3 crystal from Alexandria. Energies are from PBE.

Its crystal system is cubic.

The structure belongs to space group Pm-3m (No. 221); the cell edges are 5.125, 5.125 and 5.125 Å and the angles 90.00°, 90.00° and 90.00°. The inequivalent atoms are Ta at (0.000, 0.000, 0.000), Si at (0.500, 0.500, 0.500) and Ag at (0.000, 0.000, 0.500).

=====

Most stable of them? entry one.

=====

Entry one
Here is a relaxed Ta3SiAg crystal from Alexandria. Energies are from PBE.

Its crystal system is cubic.

The structure belongs to space group Pm-3m (No. 221); the cell edges are 4.649, 4.649 and 4.649 Å and the angles 90.00°, 90.00° and 90.00°. The inequivalent atoms are Ta at (0.000, 0.000, 0.500), Si at (0.000, 0.000, 0.000) and Ag at (0.500, 0.500, 0.500).

=====

Entry two
Here is a relaxed Ta3SiAg crystal from Alexandria. Energies are from PBE.

Its crystal system is cubic.

The structure belongs to space group Pm-3m (No. 221); the cell edges are 4.855, 4.855 and 4.855 Å and the angles 90.00°, 90.00° and 90.00°. The inequivalent atoms are Ta at (0.000, 0.000, 0.500), Si at (0.500, 0.500, 0.500) and Ag at (0.000, 0.000, 0.000).

=====

Most stable of them? entry one.

=====

Entry one
Here is a relaxed SiTc3Ag crystal from Alexandria. Energies are from PBE.

Its crystal system is cubic.

The structure belongs to space group Pm-3m (No. 221); the cell edges are 4.419, 4.419 and 4.419 Å and the angles 90.00°, 90.00° and 90.00°. The inequivalent atoms are Si at (0.000, 0.000, 0.000), Tc at (0.000, 0.000, 0.500) and Ag at (0.500, 0.500, 0.500).

=====

Entry two
Here is a relaxed SiTc3Ag crystal from Alexandria. Energies are from PBE.

Its crystal system is cubic.

The structure belongs to space group Pm-3m (No. 221); the cell edges are 4.806, 4.806 and 4.806 Å and the angles 90.00°, 90.00° and 90.00°. The inequivalent atoms are Si at (0.000, 0.000, 0.000), Tc at (0.000, 0.500, 0.500) and Ag at (0.500, 0.500, 0.500).

=====

Most stable of them? entry one.

=====

Entry one
Here is a relaxed Si2Tc2Ag crystal from Alexandria. Energies are from PBE.

Its crystal system is tetragonal.

The structure belongs to space group P4/mbm (No. 127); the cell edges are 6.900, 6.900 and 3.018 Å and the angles 90.00°, 90.00° and 90.00°. The inequivalent atoms are Si at (0.137, 0.363, 0.000), Tc at (0.155, 0.655, 0.500) and Ag at (0.000, 0.000, 0.000).

=====

Entry two
Here is a relaxed Si2Tc2Ag crystal from Alexandria. Energies are from PBE.

Its crystal system is tetragonal.

The structure belongs to space group I4/mmm (No. 139); the cell edges are 3.470, 3.470 and 12.764 Å and the angles 90.00°, 90.00° and 90.00°. The inequivalent atoms are Si at (0.000, 0.500, 0.250), Tc at (0.000, 0.000, 0.113) and Ag at (0.000, 0.000, 0.500).

=====

Most stable of them? entry one.